SrBeIrO5 after structural relaxation, computed with PBE.

Computed properties:
Energy relative to the elements, uncorrected, eV per atom: -1.71

Cell lengths 6.5790, 8.8759, 7.1999 Å; angles 90.00, 113.93, 90.00 degrees
Space group C2/c (No. 15)
Symmetry-distinct sites (fractional):
Sr1 0.0000 0.1588 0.2500
Be1 0.0000 0.1957 0.7500
Ir1 0.0000 0.5000 0.0000
O1 0.0000 0.4327 0.2500
O2 0.0938 0.2943 0.6099
O3 0.1938 0.0734 0.9099

=====

Sr3Be2IrO6 after structural relaxation, computed with PBE.

Computed properties:
Energy relative to the elements, uncorrected, eV per atom: -2.08

Cell lengths 5.4191, 5.4191, 6.7925 Å; angles 90.00, 90.00, 120.00 degrees
Space group P-3m1 (No. 164)
Symmetry-distinct sites (fractional):
Sr1 0.0000 0.0000 0.0000
Sr2 0.3333 0.6667 0.6724
Be1 0.3333 0.6667 0.2667
Ir1 0.0000 0.0000 0.5000
O1 0.1699 0.3398 0.2952

=====

SrBeIrO6 after structural relaxation, computed with PBE.

Computed properties:
Energy relative to the elements, uncorrected, eV per atom: -1.39

Cell lengths 4.9436, 4.9436, 5.4792 Å; angles 90.00, 90.00, 120.00 degrees
Space group P312 (No. 149)
Symmetry-distinct sites (fractional):
Sr1 0.0000 0.0000 0.0000
Be1 0.6667 0.3333 0.5000
Ir1 0.3333 0.6667 0.5000
O1 0.3825 0.0078 0.3100

=====

TbBe2IrO8 after structural relaxation, computed with PBE.

Computed properties:
Energy relative to the elements, uncorrected, eV per atom: -1.44

Cell lengths 5.1485, 5.1485, 6.2259 Å; angles 90.00, 90.00, 120.00 degrees
Space group P-3m1 (No. 164)
Symmetry-distinct sites (fractional):
Tb1 0.0000 0.0000 0.0000
Be1 0.3333 0.6667 0.2311
Ir1 0.0000 0.0000 0.5000
O1 0.1643 0.3285 0.3093
O2 0.3333 0.6667 0.9722

=====

Question: energy relative to the elements, uncorrected of number 4 (TbBe2IrO8)?
Answer: -1.44 eV per atom